Material: TaRePt2
Method: DFT, PBE
State: relaxed

Cell lengths 9.3946, 9.3946, 9.3946 Å; angles 17.22, 17.22, 17.22 degrees
Positions (direct):
Pt 0.9985 0.9985 0.9985
Pt 0.5015 0.5015 0.5015
Ta 0.7500 0.7500 0.7500
Re 0.2500 0.2500 0.2500

Energy relative to the lowest polymorph listed for this composition ... 269.6 meV/atom
DOS(E_F) ... 3.31 states/eV/cell



Material: TaRePt2
Method: DFT, PBE
State: relaxed

Cell lengths 6.1639, 4.9710, 2.7574 Å; angles 89.92, 63.58, 119.77 degrees
Positions (direct):
Re 0.0000 0.5000 0.5000
Ta 0.5000 0.5000 0.0000
Pt 0.0000 0.0000 0.0000
Pt 0.5000 0.0000 0.5000

Energy relative to the lowest polymorph listed for this composition ... 76.4 meV/atom
DOS(E_F) ... 2.73 states/eV/cell



Material: TaRePt2
Method: DFT, PBE
State: relaxed

Cell lengths 4.4994, 4.4994, 4.4994 Å; angles 60.00, 60.00, 60.00 degrees
Positions (direct):
Pt 0.0000 0.0000 0.0000
Pt 0.2500 0.2500 0.2500
Re 0.5000 0.5000 0.5000
Ta 0.7500 0.7500 0.7500

Energy relative to the lowest polymorph listed for this composition ... 330.2 meV/atom
DOS(E_F) ... 4.08 states/eV/cell



Material: TaRePt
Method: DFT, PBE
State: relaxed

Cell lengths 6.7670, 6.6693, 2.7582 Å; angles 80.15, 76.17, 23.68 degrees
Positions (direct):
Ta 0.6657 0.6657 0.3343
Pt 0.9988 0.9988 0.0012
Re 0.3356 0.3356 0.6644

Energy relative to the lowest polymorph listed for this composition ... 7.2 meV/atom
DOS(E_F) ... 1.99 states/eV/cell